1.
A relaxed structure of Ni2B2Os. Source: Alexandria via LeMat-Bulk, functional PBE-GGA.

Energy of formation (eV per atom): 0.01
Crystal system: tetragonal
DFT total energy (eV/cell): -72.23

a = 5.809 Å, b = 5.809 Å, c = 2.785 Å
α = 90.00°, β = 90.00°, γ = 90.00°
Space group P4/mbm (No. 127)
Symmetry-distinct sites (fractional):
Ni 0.158 0.342 0.000 (multiplicity 4)
B 0.125 0.625 0.500 (multiplicity 4)
Os 0.000 0.000 0.500 (multiplicity 2)

***

2.
A relaxed structure of NiBOs. Source: Alexandria via LeMat-Bulk, functional PBE-GGA.

Energy of formation (eV per atom): 0.10
Crystal system: trigonal
DFT total energy (eV/cell): -140.35

a = 3.6149 Å, b = 3.6149 Å, c = 18.0421 Å
α = 90.00°, β = 90.00°, γ = 120.00°
Space group R-3m (No. 166, hexagonal axes)
Symmetry-distinct sites (fractional):
Ni 0.0000 0.0000 0.1313 (multiplicity 6)
B 0.0000 0.0000 0.4077 (multiplicity 6)
Os 0.0000 0.0000 0.2827 (multiplicity 6)

***

3.
A relaxed structure of NiB2Os. Source: Alexandria via LeMat-Bulk, functional PBE-GGA.

Energy of formation (eV per atom): 0.22
Crystal system: cubic
DFT total energy (eV/cell): -117.96

a = 5.284 Å, b = 5.284 Å, c = 5.284 Å
α = 90.00°, β = 90.00°, γ = 90.00°
Space group Fm-3m (No. 225)
Symmetry-distinct sites (fractional):
Ni 0.000 0.000 0.000 (multiplicity 4)
B 0.250 0.250 0.250 (multiplicity 8)
Os 0.000 0.000 0.500 (multiplicity 4)

***

4.
A relaxed structure of NiB2Os. Source: Alexandria via LeMat-Bulk, functional PBE-GGA.

Energy of formation (eV per atom): 0.52
Crystal system: tetragonal
DFT total energy (eV/cell): -113.13

a = 4.575 Å, b = 4.575 Å, c = 9.331 Å
α = 90.00°, β = 90.00°, γ = 90.00°
Space group I-42d (No. 122)
Symmetry-distinct sites (fractional):
Ni 0.000 0.000 0.000 (multiplicity 4)
B 0.243 0.250 0.125 (multiplicity 8)
Os 0.000 0.000 0.500 (multiplicity 4)

***

5.
A relaxed structure of NiB2Os2. Source: Alexandria via LeMat-Bulk, functional PBE-GGA.

Energy of formation (eV per atom): 0.06
Crystal system: tetragonal
DFT total energy (eV/cell): -82.55

a = 5.990 Å, b = 5.990 Å, c = 2.858 Å
α = 90.00°, β = 90.00°, γ = 90.00°
Space group P4/mbm (No. 127)
Symmetry-distinct sites (fractional):
Ni 0.000 0.000 0.000 (multiplicity 2)
B 0.137 0.363 0.000 (multiplicity 4)
Os 0.160 0.660 0.500 (multiplicity 4)

***

6.
A relaxed structure of NiBOs2. Source: Alexandria via LeMat-Bulk, functional PBE-GGA.

Energy of formation (eV per atom): 0.98
Crystal system: tetragonal
DFT total energy (eV/cell): -124.05

a = 3.749 Å, b = 3.749 Å, c = 15.460 Å
α = 90.00°, β = 90.00°, γ = 90.00°
Space group I-42d (No. 122)
Symmetry-distinct sites (fractional):
Ni 0.000 0.000 0.000 (multiplicity 4)
B 0.000 0.000 0.500 (multiplicity 4)
Os 0.205 0.250 0.625 (multiplicity 8)